DFT (PBEsol) results for an optimized crystal structure of Zn3In.

POSCAR file:
```
Zn3In
1.0
-1.8776 1.7653 -1.8568
1.5827 -3.5789 -2.2860
-4.1647 -2.1287 2.1875
Zn In
3 1
Direct
0.5000 0.0000 0.5000
0.2421 0.4842 0.7085
0.7579 0.5158 0.2915
0.0000 0.0000 0.0000
```

## Properties
The energy of formation from the pure elements is 0.0791 eV per atom. Its space group is C2/m. Its total moment is 0.00 μB/atom. The calculation puts the total energy at -1.853 eV/atom. For the volume, the calculation gives 68.46 Å³/cell.